[1]
{
  "formula": "SrCr4Br",
  "functional": "PBE",
  "state": "relaxed",
  "lattice": [[0.000, 3.772, 3.772], [3.772, 0.000, 3.772], [3.772, 3.772, 0.000]],
  "species": ["Sr", "Cr", "Cr", "Cr", "Cr", "Br"],
  "frac_coords": [[0.000, 0.000, 0.000], [0.390, 0.390, 0.390], [0.390, 0.390, 0.830], [0.390, 0.830, 0.390], [0.830, 0.390, 0.390], [0.750, 0.750, 0.750]],
  "total_energy_ev_per_cell": -35.37,
  "magmom_total_mub_per_fu": 0.000,
  "e_form_raw_ev_per_atom": 1.079,
  "space_group": "F-43m, No. 216"
}

[2]
{
  "formula": "Tb2Al4NiGe2",
  "functional": "PBE",
  "state": "relaxed",
  "lattice": [[-2.080, 2.080, 9.715], [2.080, -2.080, 9.715], [2.080, 2.080, -9.715]],
  "species": ["Tb", "Tb", "Al", "Al", "Al", "Al", "Ni", "Ge", "Ge"],
  "frac_coords": [[0.186, 0.186, 0.000], [0.814, 0.814, 0.000], [0.067, 0.567, 0.500], [0.433, 0.933, 0.500], [0.567, 0.067, 0.500], [0.933, 0.433, 0.500], [0.000, 0.000, 0.000], [0.338, 0.338, 0.000], [0.662, 0.662, 0.000]],
  "total_energy_ev_per_cell": -45.01,
  "magmom_total_mub_per_fu": 0.000,
  "space_group": "I4/mmm, No. 139",
  "formation_enthalpy_0k_ev_per_atom": -0.64
}

[3]
{
  "formula": "RbZnCd2Pd",
  "functional": "PBE",
  "state": "relaxed",
  "lattice": [[5.344, 0.000, 0.000], [0.000, 5.344, 0.000], [0.000, 0.000, 5.028]],
  "species": ["Rb", "Zn", "Cd", "Cd", "Pd"],
  "frac_coords": [[0.000, 0.000, 0.000], [0.500, 0.500, 0.000], [0.000, 0.500, 0.500], [0.500, 0.000, 0.500], [0.500, 0.500, 0.500]],
  "total_energy_ev_per_cell": -10.09,
  "magmom_total_mub_per_fu": 0.000,
  "space_group": "P4/mmm, No. 123",
  "formation_enthalpy_0k_ev_per_atom": -0.16
}

[4]
{
  "formula": "ZnSn3Ir",
  "functional": "PBE",
  "state": "relaxed",
  "lattice": [[5.169, 0.000, 0.000], [0.000, 5.169, 0.000], [0.000, 0.000, 5.169]],
  "species": ["Zn", "Sn", "Sn", "Sn", "Ir"],
  "frac_coords": [[0.000, 0.000, 0.000], [0.000, 0.500, 0.500], [0.500, 0.000, 0.500], [0.500, 0.500, 0.000], [0.500, 0.500, 0.500]],
  "total_energy_ev_per_cell": -20.88,
  "magmom_total_mub_per_fu": 0.000,
  "space_group": "Pm-3m, No. 221",
  "e_above_lowest_polymorph_ev_per_atom": 0.0000,
  "formation_enthalpy_0k_ev_per_atom": 0.25
}

[5]
{
  "formula": "LaMg6Ag6",
  "functional": "PBE",
  "state": "relaxed",
  "lattice": [[-2.827, 4.803, 5.000], [2.827, -4.803, 5.000], [2.827, 4.803, -5.000]],
  "species": ["La", "Mg", "Mg", "Mg", "Mg", "Mg", "Mg", "Ag", "Ag", "Ag", "Ag", "Ag", "Ag"],
  "frac_coords": [[0.000, 0.000, 0.000], [0.197, 0.697, 0.500], [0.343, 0.000, 0.343], [0.348, 0.348, 0.000], [0.652, 0.652, 0.000], [0.657, 0.000, 0.657], [0.803, 0.303, 0.500], [0.000, 0.000, 0.500], [0.000, 0.500, 0.000], [0.224, 0.500, 0.724], [0.500, 0.000, 0.000], [0.500, 0.500, 0.500], [0.776, 0.500, 0.276]],
  "total_energy_ev_per_cell": -34.22,
  "magmom_total_mub_per_fu": 0.000,
  "space_group": "Immm, No. 71",
  "formation_enthalpy_0k_ev_per_atom": -0.20
}

[6]
{
  "formula": "AcSm2Er2",
  "functional": "PBE",
  "state": "relaxed",
  "lattice": [[1.833, -8.231, 0.000], [1.833, 8.231, 0.000], [0.000, 0.000, 11.911]],
  "species": ["Ac", "Ac", "Sm", "Sm", "Sm", "Sm", "Er", "Er", "Er", "Er"],
  "frac_coords": [[0.107, 0.893, 0.500], [0.893, 0.107, 0.000], [0.238, 0.762, 0.792], [0.448, 0.552, 0.697], [0.552, 0.448, 0.197], [0.762, 0.238, 0.292], [0.203, 0.797, 0.066], [0.422, 0.578, 0.409], [0.578, 0.422, 0.909], [0.797, 0.203, 0.566]],
  "total_energy_ev_per_cell": -43.84,
  "magmom_total_mub_per_fu": 0.000,
  "space_group": "Cmc2_1, No. 36",
  "e_above_lowest_polymorph_ev_per_atom": 0.0000,
  "formation_enthalpy_0k_ev_per_atom": 0.15
}

[7]
{
  "formula": "ScHRh3",
  "functional": "PBE",
  "state": "relaxed",
  "lattice": [[8.028, 0.000, 0.000], [0.000, 3.965, 0.000], [-3.945, 0.000, 8.058]],
  "species": ["Sc", "Sc", "Sc", "Sc", "H", "H", "H", "H", "Rh", "Rh", "Rh", "Rh", "Rh", "Rh", "Rh", "Rh", "Rh", "Rh", "Rh", "Rh"],
  "frac_coords": [[0.200, 0.000, 0.121], [0.200, 0.500, 0.621], [0.800, 0.000, 0.879], [0.800, 0.500, 0.379], [0.307, 0.004, 0.398], [0.307, 0.496, 0.898], [0.693, 0.504, 0.102], [0.693, 0.996, 0.602], [0.057, 0.000, 0.368], [0.057, 0.500, 0.868], [0.311, 0.501, 0.368], [0.311, 0.999, 0.868], [0.443, 0.000, 0.628], [0.443, 0.500, 0.128], [0.557, 0.000, 0.372], [0.557, 0.500, 0.872], [0.689, 0.001, 0.132], [0.689, 0.499, 0.632], [0.943, 0.000, 0.632], [0.943, 0.500, 0.132]],
  "total_energy_ev_per_cell": -134.60,
  "magmom_total_mub_per_fu": 0.000,
  "space_group": "P2_1/c, No. 14",
  "e_above_lowest_polymorph_ev_per_atom": 0.1859
}

[8]
{
  "formula": "Er2ClO2",
  "functional": "PBE",
  "state": "relaxed",
  "lattice": [[5.509, -2.252, 0.000], [5.509, 2.252, 0.000], [-2.352, 0.000, 7.371]],
  "species": ["Er", "Er", "Er", "Er", "Cl", "Cl", "O", "O", "O", "O"],
  "frac_coords": [[0.010, 0.010, 0.233], [0.334, 0.334, 0.933], [0.666, 0.666, 0.067], [0.990, 0.990, 0.767], [0.165, 0.165, 0.585], [0.835, 0.835, 0.415], [0.147, 0.147, 0.048], [0.500, 0.500, 0.186], [0.500, 0.500, 0.814], [0.853, 0.853, 0.952]],
  "total_energy_ev_per_cell": -70.24,
  "magmom_total_mub_per_fu": 0.000,
  "e_form_raw_ev_per_atom": -2.846,
  "space_group": "C2/m, No. 12"
}